No. 1
# Li5MnCo2O8

Li5MnCo2O8 after structural relaxation (PBEsol, Alexandria).

POSCAR file:
```
Li5MnCo2O8
1.0
-2.5207 -0.8853 0.8259
0.8472 -2.1152 -4.4159
4.2511 -6.6316 5.8664
Li O Mn Co
5 8 1 2
direct
0.7534 0.5068 0.1355
0.7394 0.4788 0.6101
0.0000 0.0000 0.5000
0.2606 0.5212 0.3899
0.2466 0.4932 0.8645
0.8892 0.7783 0.8200
0.1051 0.2101 0.6959
0.3897 0.7793 0.0622
0.8949 0.7899 0.3041
0.1108 0.2217 0.1800
0.6221 0.2442 0.4200
0.6103 0.2207 0.9378
0.3779 0.7558 0.5800
0.0000 0.0000 0.0000
0.4955 0.9910 0.7434
0.5045 0.0090 0.2566
```

Calculated values
**Total magnetization**: 1.62 Bohr magnetons per cell
**Formation energy without anion corrections**: -26.40 eV/f.u.
**E above lowest polymorph**: 5.8 kJ/mol of atoms
**SG**: C2/m, No. 12
**V**: 128.9 Å³/f.u.

No. 2
# Li5MnCo2O8

Li5MnCo2O8 after structural relaxation (PBEsol, Alexandria).

POSCAR file:
```
Li5MnCo2O8
1.0
-2.8847 3.0710 -2.5460
-3.0530 -4.3619 -1.7173
-0.2763 1.6477 5.3350
Co O Li Mn
2 8 5 1
direct
0.0000 0.5000 0.0000
0.0000 0.0000 0.5000
0.7808 0.1298 0.7593
0.7731 0.1124 0.2485
0.2192 0.8702 0.2407
0.2278 0.3629 0.2283
0.2173 0.3584 0.7500
0.7827 0.6416 0.2500
0.7722 0.6371 0.7717
0.2269 0.8876 0.7515
0.5084 0.2657 0.5029
0.4916 0.7343 0.4971
0.0000 0.5000 0.5000
0.5022 0.7459 0.9928
0.4978 0.2541 0.0072
0.0000 0.0000 0.0000
```

Calculated values
**Total magnetization**: 4.04 Bohr magnetons per cell
**Formation energy without anion corrections**: -27.36 eV/f.u.
**E above lowest polymorph**: 0.0 kJ/mol of atoms
**SG**: P-1, No. 2
**V**: 126.3 Å³/f.u.

No. 3
# Li2Mn3CoO8

Li2Mn3CoO8 after structural relaxation (PBEsol, Alexandria).

POSCAR file:
```
Li2Mn3CoO8
1.0
5.6000 0.0000 0.0000
-2.8000 4.8497 0.0000
0.0000 0.0000 9.1842
Li Mn O Co
4 6 16 2
direct
0.3333 0.6667 0.6039
0.0000 0.0000 0.5023
0.6667 0.3333 0.1039
0.0000 0.0000 0.0023
0.8305 0.1695 0.7873
0.6611 0.8305 0.2873
0.1695 0.8305 0.2873
0.1695 0.3389 0.2873
0.8305 0.6611 0.7873
0.3389 0.1695 0.7873
0.1668 0.3335 0.8994
0.4793 0.5207 0.1593
0.3335 0.1668 0.3994
0.6665 0.8332 0.8994
0.3333 0.6667 0.3958
0.9586 0.4793 0.6593
0.5207 0.0414 0.6593
0.6667 0.3333 0.8958
0.5207 0.4793 0.6593
0.0000 0.0000 0.6891
0.8332 0.6665 0.3994
0.8332 0.1668 0.3994
0.0000 0.0000 0.1891
0.1668 0.8332 0.8994
0.4793 0.9586 0.1593
0.0414 0.5207 0.1593
0.6667 0.3333 0.5171
0.3333 0.6667 0.0171
```

Calculated values
**Total magnetization**: 15.98 Bohr magnetons per cell
**Formation energy without anion corrections**: -23.56 eV/f.u.
**E above lowest polymorph**: 5.8 kJ/mol of atoms
**SG**: P6_3mc, No. 186
**V**: 124.7 Å³/f.u.

No. 4
# Li7Mn4CoO12

Li7Mn4CoO12 after structural relaxation (PBEsol, Alexandria).

POSCAR file:
```
Li7Mn4CoO12
1.0
4.8730 0.0778 0.0694
0.7032 6.3278 0.0078
0.7032 0.7265 6.2859
O Li Mn Co
12 7 4 1
direct
0.8905 0.0507 0.7175
0.8693 0.7210 0.0536
0.6305 0.7776 0.4459
0.3695 0.5541 0.2224
0.6387 0.1027 0.1260
0.8657 0.3922 0.3900
0.1095 0.2825 0.9493
0.3575 0.2305 0.5442
0.1307 0.9464 0.2790
0.3613 0.8740 0.8973
0.6425 0.4558 0.7695
0.1343 0.6100 0.6078
0.2631 0.5728 0.9087
0.2583 0.2489 0.2441
0.2582 0.9222 0.5918
0.5000 0.1688 0.8312
0.7417 0.7559 0.7511
0.7418 0.4082 0.0778
0.7369 0.0913 0.4272
0.0000 0.3296 0.6704
0.5000 0.8351 0.1649
0.0000 0.0025 0.9975
0.0000 0.6688 0.3312
0.5000 0.4984 0.5016
```

Calculated values
**Total magnetization**: 10.00 Bohr magnetons per cell
**Formation energy without anion corrections**: -44.67 eV/f.u.
**E above lowest polymorph**: 0.0 kJ/mol of atoms
**SG**: C2, No. 5
**V**: 193.2 Å³/f.u.

No. 5
# Li6Mn3CoO10

Li6Mn3CoO10 after structural relaxation (PBEsol, Alexandria).

POSCAR file:
```
Li6Mn3CoO10
1.0
-3.2659 -1.9290 -3.0608
0.3355 -3.5402 4.4763
-3.6039 4.8116 2.0868
Li Mn O Co
6 3 10 1
direct
0.2091 0.8953 0.4095
0.5923 0.7007 0.1941
0.3933 0.3022 0.7945
0.7948 0.0981 0.6061
0.3986 0.7966 0.7963
0.0090 0.5044 0.9961
0.9976 0.9943 0.9945
0.8032 0.6058 0.6064
0.5995 0.1991 0.1982
0.7127 0.1482 0.9233
0.7209 0.6607 0.8944
0.2998 0.8776 0.1044
0.5018 0.2676 0.4890
0.0847 0.4535 0.6779
0.0797 0.9397 0.7067
0.2983 0.3313 0.1100
0.9004 0.0685 0.2857
0.8990 0.5321 0.3134
0.5044 0.7226 0.4979
0.2009 0.4015 0.4016
```

Calculated values
**Total magnetization**: 8.00 Bohr magnetons per cell
**Formation energy without anion corrections**: -37.26 eV/f.u.
**SG**: P1, No. 1
**V**: 161.0 Å³/f.u.

No. 6
# Li2MnCo3O8

Li2MnCo3O8 after structural relaxation (PBEsol, Alexandria).

POSCAR file:
```
Li2MnCo3O8
1.0
-1.2605 5.2309 -1.3593
-4.3797 0.9934 -3.2603
-4.6056 2.3131 2.4011
O Co Mn Li
8 3 1 2
direct
0.2355 0.7308 0.7958
0.2339 0.2339 0.7891
0.2689 0.2689 0.2044
0.7645 0.2692 0.2042
0.7308 0.2355 0.7958
0.7311 0.7311 0.7956
0.7661 0.7661 0.2109
0.2692 0.7645 0.2042
0.0000 0.5000 0.0000
0.5000 0.5000 0.0000
0.5000 0.0000 0.0000
0.0000 0.0000 0.0000
0.5000 0.0000 0.5000
0.0000 0.5000 0.5000
```

Calculated values
**Total magnetization**: 4.06 Bohr magnetons per cell
**Formation energy without anion corrections**: -20.07 eV/f.u.
**E above lowest polymorph**: 6.1 kJ/mol of atoms
**SG**: C2/m, No. 12
**V**: 128.6 Å³/f.u.

No. 7
# Li5Mn2Co3O10

Li5Mn2Co3O10 after structural relaxation (PBEsol, Alexandria).

POSCAR file:
```
Li5Mn2Co3O10
1.0
4.9409 0.0093 -0.0036
0.8421 4.9109 0.0447
2.4352 2.0690 6.7140
O Co Li Mn
10 3 5 2
direct
0.0449 0.7778 0.1419
0.4395 0.7731 0.3360
0.9542 0.2226 0.8592
0.3526 0.2204 0.0544
0.6464 0.7801 0.9468
0.7668 0.2296 0.2382
0.2330 0.7707 0.7628
0.8713 0.7700 0.5474
0.1282 0.2302 0.4537
0.5599 0.2270 0.6651
0.3017 0.0021 0.8982
0.9993 0.5005 0.0001
0.6975 0.9984 0.1029
0.7829 0.5033 0.4094
0.2166 0.4966 0.5915
0.4997 0.0002 0.5005
0.4029 0.4914 0.2100
0.5964 0.5089 0.7906
0.8989 0.0001 0.6997
0.1006 0.9998 0.3016
```

Calculated values
**Total magnetization**: 8.02 Bohr magnetons per cell
**Formation energy without anion corrections**: -32.31 eV/f.u.
**SG**: P-1, No. 2
**V**: 162.4 Å³/f.u.

No. 8
# LiMnCo3O8

LiMnCo3O8 after structural relaxation (PBEsol, Alexandria).

POSCAR file:
```
LiMnCo3O8
1.0
-2.4249 -4.9610 -0.8290
3.0160 -4.2998 -1.8961
1.2432 -4.3580 3.6380
O Co Li Mn
8 3 1 1
direct
0.7295 0.2357 0.7991
0.7288 0.7288 0.8137
0.2357 0.2357 0.7991
0.7643 0.2705 0.2009
0.7643 0.7643 0.2009
0.2705 0.7643 0.2009
0.2712 0.2712 0.1863
0.2357 0.7295 0.7991
0.0000 0.5000 0.0000
0.5000 0.5000 0.0000
0.5000 0.0000 0.0000
0.5000 0.5000 0.5000
0.0000 0.0000 0.0000
```

Calculated values
**Total magnetization**: 0.95 Bohr magnetons per cell
**Formation energy without anion corrections**: -16.79 eV/f.u.
**E above lowest polymorph**: 0.0 kJ/mol of atoms
**SG**: R-3m, No. 166
**V**: 130.6 Å³/f.u.

No. 9
# Li5Mn3Co2O10

Li5Mn3Co2O10 after structural relaxation (PBEsol, Alexandria).

POSCAR file:
```
Li5Mn3Co2O10
1.0
4.9986 0.0230 -0.0649
-0.7933 4.9648 0.0310
-2.3672 -2.2444 6.7795
Mn O Co Li
3 10 2 5
direct
0.1085 0.3113 0.1105
0.5000 0.0000 0.0000
0.8915 0.6887 0.8895
0.9086 0.9302 0.1440
0.5245 0.7707 0.7612
0.7105 0.3274 0.9550
0.2895 0.6726 0.0450
0.4755 0.2293 0.2388
0.1165 0.5620 0.3379
0.0914 0.0698 0.8560
0.6785 0.8717 0.4552
0.3215 0.1283 0.5448
0.8835 0.4380 0.6621
0.6981 0.1001 0.6976
0.3019 0.8999 0.3024
0.0935 0.8014 0.5841
0.9065 0.1986 0.4159
0.5000 0.5000 0.5000
0.7146 0.6172 0.2232
0.2854 0.3828 0.7768
```

Calculated values
**Total magnetization**: 12.02 Bohr magnetons per cell
**Formation energy without anion corrections**: -33.09 eV/f.u.
**SG**: P-1, No. 2
**V**: 167.8 Å³/f.u.

No. 10
# Li4MnCo2O7

Li4MnCo2O7 after structural relaxation (PBEsol, Alexandria).

POSCAR file:
```
Li4MnCo2O7
1.0
4.8732 -0.0269 0.0261
0.8306 6.2790 -0.0343
1.6002 0.3331 7.3095
Li O Co Mn
8 14 4 2
direct
0.9320 0.1471 0.6372
0.4899 0.9908 0.5010
0.0779 0.8475 0.3731
0.7984 0.4353 0.9173
0.3495 0.3023 0.7754
0.6415 0.7080 0.2227
0.2149 0.5665 0.0696
0.1458 0.7090 0.7082
0.1060 0.2692 0.0499
0.7507 0.0189 0.2371
0.4825 0.5862 0.8167
0.0309 0.4342 0.6608
0.8799 0.7377 0.9666
0.6828 0.1258 0.9049
0.6087 0.3096 0.5191
0.9622 0.5498 0.3387
0.5349 0.4034 0.1933
0.4032 0.6945 0.4663
0.1811 0.1611 0.3744
0.2529 0.9987 0.7712
0.3173 0.8709 0.0945
0.7988 0.8513 0.6191
0.2848 0.4300 0.4302
0.7129 0.5742 0.5733
0.8562 0.2862 0.2869
0.4291 0.1415 0.1424
0.5745 0.8514 0.8504
0.0006 0.9990 0.9996
```

Calculated values
**Total magnetization**: 6.07 Bohr magnetons per cell
**Formation energy without anion corrections**: -23.91 eV/f.u.
**E above lowest polymorph**: 0.9 kJ/mol of atoms
**SG**: P1, No. 1
**V**: 111.8 Å³/f.u.

No. 11
# Li3MnCo4O8

Li3MnCo4O8 after structural relaxation (PBEsol, Alexandria).

POSCAR file:
```
Li3MnCo4O8
1.0
-1.5794 -0.0468 5.5124
-1.8863 -4.0082 -3.5570
1.9398 -5.3149 0.5148
O Li Co Mn
8 3 4 1
direct
0.7699 0.0215 0.7236
0.7830 0.0259 0.2429
0.2301 0.9785 0.2764
0.7699 0.4934 0.2516
0.2170 0.9741 0.7571
0.2217 0.4836 0.2619
0.7783 0.5164 0.7381
0.2301 0.5065 0.7484
0.5000 0.0000 0.0000
0.5000 0.5000 0.0000
0.5000 0.5000 0.5000
0.5000 0.0000 0.5000
0.0000 0.5000 0.0000
0.0000 0.0000 0.0000
0.0000 0.0000 0.5000
0.0000 0.5000 0.5000
```

Calculated values
**Total magnetization**: 5.34 Bohr magnetons per cell
**Formation energy without anion corrections**: -21.40 eV/f.u.
**SG**: C2/m, No. 12
**V**: 131.5 Å³/f.u.

No. 12
# LiMnCo3O8

LiMnCo3O8 after structural relaxation (PBEsol, Alexandria).

POSCAR file:
```
LiMnCo3O8
1.0
-5.3141 1.4997 0.5784
2.0652 -4.2442 3.3616
2.7708 8.1163 4.4078
O Li Co Mn
16 2 6 2
direct
0.8504 0.2009 0.6150
0.5976 0.1956 0.3607
0.4024 0.8044 0.6393
0.1499 0.7993 0.8849
0.9029 0.8057 0.6384
0.0971 0.1943 0.3616
0.8501 0.2007 0.1151
0.6497 0.7994 0.8849
0.4029 0.8055 0.1384
0.1496 0.7991 0.3850
0.3501 0.2007 0.6151
0.9022 0.8044 0.1393
0.5971 0.1945 0.8616
0.6499 0.7993 0.3849
0.0978 0.1956 0.8607
0.3503 0.2006 0.1151
0.2519 0.4999 0.2499
0.7481 0.5001 0.7501
0.5000 0.0000 0.0000
0.2499 0.9997 0.2500
0.0000 0.0000 0.5000
0.7501 0.0003 0.7500
0.2500 0.9999 0.7500
0.7500 0.0001 0.2500
0.5000 0.0000 0.5000
0.0000 0.0000 0.0000
```

Calculated values
**Total magnetization**: 9.69 Bohr magnetons per cell
**Formation energy without anion corrections**: -16.52 eV/f.u.
**E above lowest polymorph**: 2.0 kJ/mol of atoms
**SG**: C2/c, No. 15
**V**: 130.6 Å³/f.u.

No. 13
# Li5MnCo2O8

Li5MnCo2O8 after structural relaxation (PBEsol, Alexandria).

POSCAR file:
```
Li5MnCo2O8
1.0
2.8148 0.0000 0.0000
0.0000 4.9222 0.0377
0.0000 -1.8999 9.2426
O Co Li Mn
8 2 5 1
direct
0.0000 0.6499 0.8878
0.5000 0.9023 0.1216
0.5000 0.3861 0.6080
0.0000 0.3501 0.1357
0.0000 0.8492 0.6120
0.5000 0.5921 0.3816
0.0000 0.1573 0.3662
0.5000 0.1162 0.8906
0.0000 0.5050 0.5057
0.5000 0.2508 0.2510
0.0000 0.7466 0.2524
0.5000 0.9961 0.5048
0.5000 0.5039 0.9950
0.5000 0.7493 0.7468
0.0000 0.2555 0.7475
0.0000 0.9897 0.9934
```

Calculated values
**Total magnetization**: 3.86 Bohr magnetons per cell
**Formation energy without anion corrections**: -27.09 eV/f.u.
**E above lowest polymorph**: 1.6 kJ/mol of atoms
**SG**: Pm, No. 6
**V**: 128.3 Å³/f.u.

No. 14
# Li2Mn2CoO6

Li2Mn2CoO6 after structural relaxation (PBEsol, Alexandria).

POSCAR file:
```
Li2Mn2CoO6
1.0
4.8369 0.0000 0.0000
-2.4185 4.2388 0.0000
0.0000 0.0000 10.1274
Mn O Co Li
4 12 2 4
direct
0.6639 0.3278 0.0000
0.8361 0.6722 0.5000
0.1639 0.3278 0.5000
0.3361 0.6722 0.0000
0.5026 0.3578 0.3928
0.3552 0.3578 0.8928
0.4974 0.6422 0.6072
0.8552 0.3578 0.6072
0.1698 0.0000 0.5978
0.3302 0.0000 0.0978
0.0026 0.3578 0.1072
0.6698 0.0000 0.9022
0.6448 0.6422 0.1072
0.9974 0.6422 0.8928
0.1448 0.6422 0.3928
0.8302 0.0000 0.4022
0.0000 0.0000 0.0000
0.5000 0.0000 0.5000
0.1731 0.5000 0.7500
0.8269 0.5000 0.2500
0.6731 0.5000 0.7500
0.3269 0.5000 0.2500
```

Calculated values
**Total magnetization**: 14.04 Bohr magnetons per cell
**Formation energy without anion corrections**: -17.86 eV/f.u.
**E above lowest polymorph**: 5.2 kJ/mol of atoms
**SG**: Cmce, No. 64
**V**: 103.8 Å³/f.u.